No. 1
# Co2Ni5W

An optimized crystal structure of Co2Ni5W (PBE, the Alexandria database).

abc: 11.9771 7.0515 4.5861
angles: 90.00 98.71 90.00
Space group C2/c (No. 15)
One atom of each set of equivalent atoms:
Co  0.0698  0.2422  0.1144 (multiplicity 8)
Ni  0.0000  0.4478  0.7500 (multiplicity 4)
Ni  0.1012  0.0882  0.6350 (multiplicity 8)
Ni  0.1951  0.4083  0.5052 (multiplicity 8)
W  0.2500  0.2500  0.0000 (multiplicity 4)

Size of the total moment in μB/f.u.: 3.76
Calculated density in g cm⁻³: 10.33
E_tot in eV/atom: -6.78

***

No. 2
# CoNi2W

An optimized crystal structure of CoNi2W (PBE, the Alexandria database).

abc: 2.6078 3.6907 5.0376
angles: 90.00 90.00 90.00
Space group Pmmm (No. 47)
One atom of each set of equivalent atoms:
Co  0.0000  0.0000  0.0000 (multiplicity 1)
Ni  0.5000  0.5000  0.2409 (multiplicity 2)
W  0.0000  0.0000  0.5000 (multiplicity 1)

Size of the total moment in μB/f.u.: 1.12
Calculated density in g cm⁻³: 12.34
E_tot in eV/atom: -7.85

***

No. 3
# CoNi2W

An optimized crystal structure of CoNi2W (PBE, the Alexandria database).

abc: 5.0255 8.9423 4.2195
angles: 90.00 90.00 90.00
Space group Cmcm (No. 63)
One atom of each set of equivalent atoms:
Co  0.0000  0.1695  0.2500 (multiplicity 4)
Ni  0.2494  0.0773  0.7500 (multiplicity 8)
W  0.0000  0.3257  0.7500 (multiplicity 4)

Size of the total moment in μB/f.u.: 0.00
Calculated density in g cm⁻³: 12.62
E_tot in eV/atom: -7.98

***

No. 4
# Co6NiW2

An optimized crystal structure of Co6NiW2 (PBE, the Alexandria database).

abc: 2.5899 6.8550 12.4799
angles: 90.00 90.00 90.00
Space group Immm (No. 71)
One atom of each set of equivalent atoms:
Co  0.0000  0.1714  0.1735 (multiplicity 8)
Co  0.0000  0.3135  0.0000 (multiplicity 4)
Ni  0.0000  0.5000  0.5000 (multiplicity 2)
W  0.0000  0.0000  0.3552 (multiplicity 4)

Size of the total moment in μB/f.u.: 6.62
Calculated density in g cm⁻³: 11.69
E_tot in eV/atom: -8.01

***

No. 5
# CoNi2W

An optimized crystal structure of CoNi2W (PBE, the Alexandria database).

abc: 2.6106 2.6106 7.2376
angles: 90.00 90.00 90.00
Space group P4/mmm (No. 123)
One atom of each set of equivalent atoms:
Co  0.0000  0.0000  0.0000 (multiplicity 1)
Ni  0.5000  0.5000  0.2327 (multiplicity 2)
W  0.0000  0.0000  0.5000 (multiplicity 1)

Size of the total moment in μB/f.u.: 2.66
Calculated density in g cm⁻³: 12.12
E_tot in eV/atom: -7.81

***

No. 6
# Co2NiW2

An optimized crystal structure of Co2NiW2 (PBE, the Alexandria database).

abc: 6.9278 6.9278 2.7576
angles: 90.00 90.00 90.00
Space group P4/mbm (No. 127)
One atom of each set of equivalent atoms:
Co  0.1246  0.3754  0.0000 (multiplicity 4)
Ni  0.0000  0.0000  0.0000 (multiplicity 2)
W  0.1735  0.6735  0.5000 (multiplicity 4)

Size of the total moment in μB/f.u.: 0.89
Calculated density in g cm⁻³: 13.66
E_tot in eV/atom: -8.99

***

No. 7
# CoNi2W2

An optimized crystal structure of CoNi2W2 (PBE, the Alexandria database).

abc: 6.2457 6.2457 3.3603
angles: 90.00 90.00 90.00
Space group P4/mbm (No. 127)
One atom of each set of equivalent atoms:
Co  0.0000  0.0000  0.0000 (multiplicity 2)
Ni  0.1307  0.3693  0.0000 (multiplicity 4)
W  0.1750  0.6750  0.5000 (multiplicity 4)

Size of the total moment in μB/f.u.: 0.00
Calculated density in g cm⁻³: 13.78
E_tot in eV/atom: -8.66

***

No. 8
# CoNi2W

An optimized crystal structure of CoNi2W (PBE, the Alexandria database).

abc: 8.5738 2.6309 4.3921
angles: 90.00 101.01 90.00
Space group C2/m (No. 12)
One atom of each set of equivalent atoms:
Co  0.0000  0.0000  0.0000 (multiplicity 2)
Ni  0.2452  0.5000  0.2436 (multiplicity 4)
W  0.0000  0.5000  0.5000 (multiplicity 2)

Size of the total moment in μB/f.u.: 1.19
Calculated density in g cm⁻³: 12.30
E_tot in eV/atom: -7.84

***

No. 9
# Co3Ni6W

An optimized crystal structure of Co3Ni6W (PBE, the Alexandria database).

abc: 8.7935 8.7935 10.6514
angles: 90.00 90.00 120.00
Space group R-3 (No. 148, hexagonal axes)
One atom of each set of equivalent atoms:
Co  0.0274  0.5755  0.2030 (multiplicity 18)
Ni  0.0470  0.8599  0.3035 (multiplicity 18)
Ni  0.0522  0.4639  0.5892 (multiplicity 18)
W  0.0000  0.0000  0.0000 (multiplicity 3)
W  0.0000  0.0000  0.5000 (multiplicity 3)

Size of the total moment in μB/f.u.: 5.28
Calculated density in g cm⁻³: 9.96
E_tot in eV/atom: -6.69

***

No. 10
# CoNi2W

An optimized crystal structure of CoNi2W (PBE, the Alexandria database).

abc: 6.5037 6.5037 4.8867
angles: 90.00 90.00 90.00
Space group I-42d (No. 122)
One atom of each set of equivalent atoms:
Co  0.0000  0.0000  0.0000 (multiplicity 4)
Ni  0.2385  0.2500  0.1250 (multiplicity 8)
W  0.0000  0.0000  0.5000 (multiplicity 4)

Size of the total moment in μB/f.u.: 0.41
Calculated density in g cm⁻³: 11.57
E_tot in eV/atom: -7.34

***

No. 11
# Co3Ni6W

An optimized crystal structure of Co3Ni6W (PBE, the Alexandria database).

abc: 8.1564 4.7051 6.6298
angles: 90.00 113.36 90.00
Space group C2/m (No. 12)
One atom of each set of equivalent atoms:
Co  0.0000  0.0000  0.0000 (multiplicity 2)
Co  0.0681  0.0000  0.6925 (multiplicity 4)
Ni  0.1424  0.5000  0.9310 (multiplicity 4)
Ni  0.1859  0.2535  0.3034 (multiplicity 8)
W  0.0000  0.5000  0.5000 (multiplicity 2)

Size of the total moment in μB/f.u.: 6.69
Calculated density in g cm⁻³: 10.13
E_tot in eV/atom: -6.77

***

No. 12
# Co3Ni2W2

An optimized crystal structure of Co3Ni2W2 (PBE, the Alexandria database).

abc: 7.1240 7.1240 7.1240
angles: 90.00 90.00 90.00
Space group I2_13 (No. 199)
One atom of each set of equivalent atoms:
Co  0.0000  0.2500  0.2497 (multiplicity 12)
Ni  0.1818  0.3182  0.6818 (multiplicity 8)
W  0.0030  0.0030  0.0030 (multiplicity 8)

Size of the total moment in μB/f.u.: 0.00
Calculated density in g cm⁻³: 12.16
E_tot in eV/atom: -7.95